The following is a DFT calculation (PBE) of a geometry-optimized TeIBrN2 structure.

abc: 4.122 4.122 8.381
angles: 90.00 90.00 90.00
Space group P4/mmm (No. 123)
Asymmetric unit:
Te  0.000  0.000  0.000 (multiplicity 1)
I  0.000  0.000  0.500 (multiplicity 1)
Br  0.500  0.500  0.500 (multiplicity 1)
N  0.000  0.500  0.000 (multiplicity 2)

Properties
E_form (uncorrected) = 6.9 eV/f.u.
electronic total energy = -3.22 eV per atom